Entry from the Alexandria database: a relaxed structure of AuBrCl2 (GGA-PBEsol).

POSCAR file:
```
AuBrCl2
1.0
3.2626 0.0000 0.0000
0.0000 3.2626 0.0000
0.0000 0.0000 7.8942
Au Br Cl
1 1 2
direct
0.0000 0.0000 0.0000 Au
0.5000 0.5000 0.2310 Br
0.0000 0.0000 0.4795 Cl
0.5000 0.5000 0.8119 Cl
```

Output
The relative energy among the computed polymorphs comes out at 496 meV/atom. Its space group is No. 99.